<one>
# BaNaReOs

Crystalline BaNaReOs at its relaxed geometry (GGA-PBE, OQMD).

CIF file:
```
data_BaNaReOs
_chemical_formula_sum 'Ba4 Na4 Re4 Os4'
_cell_length_a 6.8721
_cell_length_b 6.8721
_cell_length_c 6.8721
_cell_angle_alpha 90.00
_cell_angle_beta 90.00
_cell_angle_gamma 90.00
_space_group_name_H-M_alt 'F -4 3 m'
_space_group_IT_number 216
_space_group_name_Hall 'F -4 2 3'
loop_
_atom_site_label
_atom_site_type_symbol
_atom_site_fract_x
_atom_site_fract_y
_atom_site_fract_z
_atom_site_occupancy
Ba1 Ba 0.0000 0.0000 0.0000 1
Na1 Na 0.2500 0.2500 0.7500 1
Re1 Re 0.2500 0.2500 0.2500 1
Os1 Os 0.0000 0.0000 0.5000 1
```

---

<two>
# BaNaReOs

Crystalline BaNaReOs at its relaxed geometry (GGA-PBE, OQMD).

CIF file:
```
data_BaNaReOs
_chemical_formula_sum 'Ba4 Na4 Re4 Os4'
_cell_length_a 6.9290
_cell_length_b 6.9290
_cell_length_c 6.9290
_cell_angle_alpha 90.00
_cell_angle_beta 90.00
_cell_angle_gamma 90.00
_space_group_name_H-M_alt 'F -4 3 m'
_space_group_IT_number 216
_space_group_name_Hall 'F -4 2 3'
loop_
_atom_site_label
_atom_site_type_symbol
_atom_site_fract_x
_atom_site_fract_y
_atom_site_fract_z
_atom_site_occupancy
Ba1 Ba 0.0000 0.0000 0.0000 1
Na1 Na 0.2500 0.2500 0.2500 1
Re1 Re 0.0000 0.0000 0.5000 1
Os1 Os 0.2500 0.2500 0.7500 1
```

---

Energies, relative to the best one, in eV/atom: <one> 0.000; <two> 0.066.

---

<one>
# Ba2NaOsS6

Crystalline Ba2NaOsS6 at its relaxed geometry (GGA-PBE, OQMD).

CIF file:
```
data_Ba2NaOsS6
_chemical_formula_sum 'Ba4 Na2 Os2 S12'
_cell_length_a 12.1073
_cell_length_b 6.9152
_cell_length_c 7.0464
_cell_angle_alpha 90.00
_cell_angle_beta 125.56
_cell_angle_gamma 90.00
_space_group_name_H-M_alt 'C 1 2/m 1'
_space_group_IT_number 12
loop_
_space_group_symop_operation_xyz
'x,y,z'
'-x,-y,-z'
'-x,y,-z'
'x,-y,z'
'x+1/2,y+1/2,z'
'-x+1/2,-y+1/2,-z'
'-x+1/2,y+1/2,-z'
'x+1/2,-y+1/2,z'
loop_
_atom_site_label
_atom_site_type_symbol
_atom_site_fract_x
_atom_site_fract_y
_atom_site_fract_z
_atom_site_occupancy
Ba1 Ba 0.2497 0.0000 0.2495 1
Na1 Na 0.0000 0.5000 0.0000 1
Os1 Os 0.0000 0.0000 0.5000 1
S1 S 0.0144 0.2383 0.2785 1
S2 S 0.2370 0.0000 0.7658 1
```

---

<two>
# Ba2NaOsS6

Crystalline Ba2NaOsS6 at its relaxed geometry (GGA-PBE, OQMD).

CIF file:
```
data_Ba2NaOsS6
_chemical_formula_sum 'Ba2 Na1 Os1 S6'
_cell_length_a 6.1701
_cell_length_b 6.9111
_cell_length_c 7.1284
_cell_angle_alpha 67.00
_cell_angle_beta 64.75
_cell_angle_gamma 64.14
_space_group_name_H-M_alt 'P -1'
_space_group_IT_number 2
loop_
_space_group_symop_operation_xyz
'x,y,z'
'-x,-y,-z'
loop_
_atom_site_label
_atom_site_type_symbol
_atom_site_fract_x
_atom_site_fract_y
_atom_site_fract_z
_atom_site_occupancy
Ba1 Ba 0.2478 0.2668 0.2367 1
Na1 Na 0.0000 0.0000 0.0000 1
Os1 Os 0.5000 0.5000 0.5000 1
S1 S 0.1923 0.7599 0.3272 1
S2 S 0.2726 0.6529 0.8028 1
S3 S 0.2957 0.2296 0.6755 1
```

---

Energies, relative to the best one, in eV/atom: <one> 0.030; <two> 0.000.

---

<one>
# Ba2NaOsSe6

Crystalline Ba2NaOsSe6 at its relaxed geometry (GGA-PBE, OQMD).

CIF file:
```
data_Ba2NaOsSe6
_chemical_formula_sum 'Ba2 Na1 Os1 Se6'
_cell_length_a 6.1802
_cell_length_b 7.3342
_cell_length_c 7.5393
_cell_angle_alpha 90.87
_cell_angle_beta 114.02
_cell_angle_gamma 114.88
_space_group_name_H-M_alt 'P -1'
_space_group_IT_number 2
loop_
_space_group_symop_operation_xyz
'x,y,z'
'-x,-y,-z'
loop_
_atom_site_label
_atom_site_type_symbol
_atom_site_fract_x
_atom_site_fract_y
_atom_site_fract_z
_atom_site_occupancy
Ba1 Ba 0.0187 0.2723 0.2657 1
Na1 Na 0.5000 0.0000 0.5000 1
Os1 Os 0.5000 0.5000 0.0000 1
Se1 Se 0.0206 0.2279 0.8336 1
Se2 Se 0.4105 0.6380 0.6816 1
Se3 Se 0.4550 0.7713 0.1655 1
```

---

<two>
# Ba2NaOsSe6

Crystalline Ba2NaOsSe6 at its relaxed geometry (GGA-PBE, OQMD).

CIF file:
```
data_Ba2NaOsSe6
_chemical_formula_sum 'Ba8 Na4 Os4 Se24'
_cell_length_a 10.3166
_cell_length_b 10.3166
_cell_length_c 10.3166
_cell_angle_alpha 90.00
_cell_angle_beta 90.00
_cell_angle_gamma 90.00
_space_group_name_H-M_alt 'F m -3 m'
_space_group_IT_number 225
_space_group_name_Hall '-F 4 2 3'
loop_
_atom_site_label
_atom_site_type_symbol
_atom_site_fract_x
_atom_site_fract_y
_atom_site_fract_z
_atom_site_occupancy
Ba1 Ba 0.2500 0.2500 0.2500 1
Na1 Na 0.0000 0.0000 0.0000 1
Os1 Os 0.0000 0.0000 0.5000 1
Se1 Se 0.0000 0.0000 0.2600 1
```

---

Energies, relative to the best one, in eV/atom: <one> 0.000; <two> 0.072.

---

<one>
# BaNaTaPd

Crystalline BaNaTaPd at its relaxed geometry (GGA-PBE, OQMD).

CIF file:
```
data_BaNaTaPd
_chemical_formula_sum 'Ba4 Na4 Ta4 Pd4'
_cell_length_a 7.1120
_cell_length_b 7.1120
_cell_length_c 7.1120
_cell_angle_alpha 90.00
_cell_angle_beta 90.00
_cell_angle_gamma 90.00
_space_group_name_H-M_alt 'F -4 3 m'
_space_group_IT_number 216
_space_group_name_Hall 'F -4 2 3'
loop_
_atom_site_label
_atom_site_type_symbol
_atom_site_fract_x
_atom_site_fract_y
_atom_site_fract_z
_atom_site_occupancy
Ba1 Ba 0.0000 0.0000 0.0000 1
Na1 Na 0.2500 0.2500 0.2500 1
Ta1 Ta 0.2500 0.2500 0.7500 1
Pd1 Pd 0.0000 0.0000 0.5000 1
```

---

<two>
# BaNaTaPd

Crystalline BaNaTaPd at its relaxed geometry (GGA-PBE, OQMD).

CIF file:
```
data_BaNaTaPd
_chemical_formula_sum 'Ba4 Na4 Ta4 Pd4'
_cell_length_a 7.4859
_cell_length_b 7.4859
_cell_length_c 7.4859
_cell_angle_alpha 90.00
_cell_angle_beta 90.00
_cell_angle_gamma 90.00
_space_group_name_H-M_alt 'F -4 3 m'
_space_group_IT_number 216
_space_group_name_Hall 'F -4 2 3'
loop_
_atom_site_label
_atom_site_type_symbol
_atom_site_fract_x
_atom_site_fract_y
_atom_site_fract_z
_atom_site_occupancy
Ba1 Ba 0.0000 0.0000 0.0000 1
Na1 Na 0.0000 0.0000 0.5000 1
Ta1 Ta 0.2500 0.2500 0.2500 1
Pd1 Pd 0.2500 0.2500 0.7500 1
```

---

Energies, relative to the best one, in eV/atom: <one> 0.000; <two> 0.300.

---

<one>
# BaNaSbPt

Crystalline BaNaSbPt at its relaxed geometry (GGA-PBE, OQMD).

CIF file:
```
data_BaNaSbPt
_chemical_formula_sum 'Ba4 Na4 Sb4 Pt4'
_cell_length_a 7.3840
_cell_length_b 7.3840
_cell_length_c 7.3840
_cell_angle_alpha 90.00
_cell_angle_beta 90.00
_cell_angle_gamma 90.00
_space_group_name_H-M_alt 'F -4 3 m'
_space_group_IT_number 216
_space_group_name_Hall 'F -4 2 3'
loop_
_atom_site_label
_atom_site_type_symbol
_atom_site_fract_x
_atom_site_fract_y
_atom_site_fract_z
_atom_site_occupancy
Ba1 Ba 0.0000 0.0000 0.0000 1
Na1 Na 0.2500 0.2500 0.7500 1
Sb1 Sb 0.0000 0.0000 0.5000 1
Pt1 Pt 0.2500 0.2500 0.2500 1
```

---

<two>
# BaNaSbPt

Crystalline BaNaSbPt at its relaxed geometry (GGA-PBE, OQMD).

CIF file:
```
data_BaNaSbPt
_chemical_formula_sum 'Ba4 Na4 Sb4 Pt4'
_cell_length_a 7.6924
_cell_length_b 7.6924
_cell_length_c 7.6924
_cell_angle_alpha 90.00
_cell_angle_beta 90.00
_cell_angle_gamma 90.00
_space_group_name_H-M_alt 'F -4 3 m'
_space_group_IT_number 216
_space_group_name_Hall 'F -4 2 3'
loop_
_atom_site_label
_atom_site_type_symbol
_atom_site_fract_x
_atom_site_fract_y
_atom_site_fract_z
_atom_site_occupancy
Ba1 Ba 0.0000 0.0000 0.0000 1
Na1 Na 0.0000 0.0000 0.5000 1
Sb1 Sb 0.2500 0.2500 0.2500 1
Pt1 Pt 0.2500 0.2500 0.7500 1
```

---

<three>
# BaNaSbPt

Crystalline BaNaSbPt at its relaxed geometry (GGA-PBE, OQMD).

CIF file:
```
data_BaNaSbPt
_chemical_formula_sum 'Ba4 Na4 Sb4 Pt4'
_cell_length_a 7.4371
_cell_length_b 7.4371
_cell_length_c 7.4371
_cell_angle_alpha 90.00
_cell_angle_beta 90.00
_cell_angle_gamma 90.00
_space_group_name_H-M_alt 'F -4 3 m'
_space_group_IT_number 216
_space_group_name_Hall 'F -4 2 3'
loop_
_atom_site_label
_atom_site_type_symbol
_atom_site_fract_x
_atom_site_fract_y
_atom_site_fract_z
_atom_site_occupancy
Ba1 Ba 0.0000 0.0000 0.0000 1
Na1 Na 0.2500 0.2500 0.2500 1
Sb1 Sb 0.2500 0.2500 0.7500 1
Pt1 Pt 0.0000 0.0000 0.5000 1
```

---

Energies, relative to the best one, in eV/atom: <one> 0.000; <two> 0.216; <three> 0.122.

---

<one>
# Ba2NaTcSe6

Crystalline Ba2NaTcSe6 at its relaxed geometry (GGA-PBE, OQMD).

CIF file:
```
data_Ba2NaTcSe6
_chemical_formula_sum 'Ba4 Na2 Tc2 Se12'
_cell_length_a 7.3018
_cell_length_b 7.3018
_cell_length_c 10.3359
_cell_angle_alpha 90.00
_cell_angle_beta 90.00
_cell_angle_gamma 90.00
_space_group_name_H-M_alt 'I 4/m'
_space_group_IT_number 87
_space_group_name_Hall '-I 4'
loop_
_atom_site_label
_atom_site_type_symbol
_atom_site_fract_x
_atom_site_fract_y
_atom_site_fract_z
_atom_site_occupancy
Ba1 Ba 0.0000 0.5000 0.2500 1
Na1 Na 0.0000 0.0000 0.0000 1
Tc1 Tc 0.0000 0.0000 0.5000 1
Se1 Se 0.0000 0.0000 0.2592 1
Se2 Se 0.2337 0.2478 0.5000 1
```

---

<two>
# Ba2NaTcSe6

Crystalline Ba2NaTcSe6 at its relaxed geometry (GGA-PBE, OQMD).

CIF file:
```
data_Ba2NaTcSe6
_chemical_formula_sum 'Ba2 Na1 Tc1 Se6'
_cell_length_a 6.1460
_cell_length_b 7.3585
_cell_length_c 7.5295
_cell_angle_alpha 90.90
_cell_angle_beta 113.78
_cell_angle_gamma 114.65
_space_group_name_H-M_alt 'P -1'
_space_group_IT_number 2
loop_
_space_group_symop_operation_xyz
'x,y,z'
'-x,-y,-z'
loop_
_atom_site_label
_atom_site_type_symbol
_atom_site_fract_x
_atom_site_fract_y
_atom_site_fract_z
_atom_site_occupancy
Ba1 Ba 0.0150 0.2674 0.2648 1
Na1 Na 0.5000 0.0000 0.5000 1
Tc1 Tc 0.5000 0.5000 0.0000 1
Se1 Se 0.0186 0.2254 0.8323 1
Se2 Se 0.4081 0.6358 0.6770 1
Se3 Se 0.4561 0.7737 0.1663 1
```

---

Energies, relative to the best one, in eV/atom: <one> 0.078; <two> 0.000.